# 1
Below is a relaxed AlNi3Ir crystal, with properties calculated at the PBE-GGA level.

Computed properties:
space group: Pm-3m
crystal system: cubic
energy of formation: 5.598 eV per formula unit
polymorph energy (0 for the lowest one): 150.5 meV/atom

a b c (Å): 4.5279 4.5279 4.5279
angles (deg): 90.00 90.00 90.00
Closest atoms and distances in Å follow each position.
Atoms (fractional coordinates):
1 Ni 0.0000 0.5000 0.0000  2 Ir 2.26
2 Ni 0.0000 0.0000 0.5000  2 Ir 2.26
3 Ni 0.5000 0.0000 0.0000  2 Ir 2.26
4 Ir 0.0000 0.0000 0.0000  6 Ni 2.26
5 Al 0.5000 0.5000 0.5000  12 Ni 3.20


# 2
Below is a relaxed AlNiIr crystal, with properties calculated at the PBE-GGA level.

Computed properties:
space group: Fmm2
crystal system: orthorhombic
energy of formation: -0.716 eV per formula unit

a b c (Å): 6.4719 6.2265 2.7099
angles (deg): 82.80 72.65 24.55
Closest atoms and distances in Å follow each position.
Atoms (fractional coordinates):
1 Ni 0.6579 0.6579 0.3421  2 Al 2.36, 2 Ir 2.62
2 Ir 0.3378 0.3378 0.6622  2 Al 2.49, 2 Ni 2.62, 4 Ir 2.71
3 Al 0.0043 0.0043 0.9957  2 Ni 2.36, 2 Ir 2.49


# 3
Below is a relaxed AlNi2Ir crystal, with properties calculated at the PBE-GGA level.

Computed properties:
space group: Cm
crystal system: monoclinic
energy of formation: -1.430 eV per formula unit

a b c (Å): 4.4699 4.4699 4.4343
angles (deg): 78.11 78.11 35.40
Closest atoms and distances in Å follow each position.
Atoms (fractional coordinates):
1 Ni 0.0016 0.0016 0.9857  4 Al 2.53-2.67, 5 Ni 2.54-2.72, 3 Ir 2.61-2.62
2 Ni 0.7528 0.7528 0.7570  3 Al 2.54-2.65, 5 Ni 2.54-2.72, 4 Ir 2.57-2.63
3 Ir 0.2480 0.2480 0.2516  7 Ni 2.57-2.63, 3 Al 2.57-2.61, 2 Ir 2.72
4 Al 0.4976 0.4976 0.5057  7 Ni 2.53-2.67, 3 Ir 2.57-2.61, 2 Al 2.72